MgNi2W, relaxed, DFT PBE-GGA; formation energy = -0.191 eV/f.u.; raw total energy = -6.58 eV per atom; total magnetization = 0.0 Bohr magnetons per cell; N(E_F) = 3.468 states/eV/f.u.
1.0
2.745 0.000 0.000
0.000 2.745 0.000
0.000 0.000 7.280
Mg Ni W
1 2 1
direct
0.000 0.000 0.000
0.500 0.500 0.257
0.500 0.500 0.743
0.000 0.000 0.500

MgNiW2, relaxed, DFT PBE-GGA; formation energy = 2.157 eV/f.u.; raw total energy = -7.78 eV per atom; total magnetization = 0.0 Bohr magnetons per cell; N(E_F) = 3.473 states/eV/f.u.
1.0
3.300 0.000 0.000
0.000 3.300 0.000
0.000 0.000 5.680
Mg Ni W
1 1 2
direct
0.000 0.000 0.000
0.000 0.000 0.500
0.500 0.500 0.287
0.500 0.500 0.713

MgNiW2, relaxed, DFT PBE-GGA; formation energy = 1.193 eV/f.u.; raw total energy = -8.02 eV per atom; total magnetization = 0.0 Bohr magnetons per cell; N(E_F) = 2.928 states/eV/f.u.
1.0
-1.862 1.862 4.357
1.862 -1.862 4.357
1.862 1.862 -4.357
Mg Ni W
1 1 2
direct
0.000 0.000 0.000
0.500 0.500 0.000
0.250 0.750 0.500
0.750 0.250 0.500

MgNiW2, relaxed, DFT PBE-GGA; formation energy = 1.623 eV/f.u.; raw total energy = -7.91 eV per atom; total magnetization = 0.2 Bohr magnetons per cell; N(E_F) = 4.954 states/eV/f.u.
1.0
2.614 -4.373 0.000
2.614 4.373 0.000
0.000 0.000 2.665
Mg Ni W
1 1 2
direct
0.000 0.000 0.000
0.500 0.500 0.000
0.000 0.500 0.500
0.500 0.000 0.500